(1)
Cs3KCd | meta-GGA SCAN | PBEsol geometry

The structure belongs to space group Pm-3m (No. 221); the cell edges are 8.245, 8.245 and 8.245 Å and the angles 90.00°, 90.00° and 90.00°. The distinct sites, in fractional coordinates, are Cs at (0.000, 0.000, 0.500), K at (0.000, 0.000, 0.000) and Cd at (0.500, 0.500, 0.500).

The value obtained for the total magnetization is 0.05 μB/f.u. Its density is 1.630 g/cm³.

(2)
Cs3KCd | meta-GGA SCAN | PBEsol geometry

The structure belongs to space group Pm-3m (No. 221); the cell edges are 7.430, 7.430 and 7.430 Å and the angles 90.00°, 90.00° and 90.00°. The distinct sites, in fractional coordinates, are Cs at (0.000, 0.000, 0.500), K at (0.500, 0.500, 0.500) and Cd at (0.000, 0.000, 0.000).

The value obtained for the total magnetization is 0.00 μB/f.u. Its density is 2.228 g/cm³.

Among the structures above, stability is smallest for (1).